No. 1
Computed, not measured: a geometry-optimized Y2P3PtRh12 structure at the PBE-GGA level of DFT.

Lattice parameters (Å, degrees): 6.6876 6.6876 6.6876 82.96 82.96 82.96
Last column: nearest neighbours and their distance in Å.
Atoms (fractional coordinates):
Pt: 0.0000 0.0000 0.0000  6 Rh 2.60
P: 0.0000 0.5000 0.0000  2 Rh 2.21
P: 0.5000 0.0000 0.0000  2 Rh 2.21
Rh: 0.1736 0.1736 0.6664  1 P 2.21
P: 0.0000 0.0000 0.5000  2 Rh 2.21
Rh: 0.3336 0.8264 0.8264  1 P 2.21
Rh: 0.3678 0.3678 0.9081  2 P 2.54, 1 Rh 2.73
Rh: 0.6322 0.6322 0.0919  2 P 2.54, 1 Rh 2.73
Rh: 0.3678 0.9081 0.3678  2 P 2.54, 1 Rh 2.73
Rh: 0.8264 0.3336 0.8264  1 P 2.21
Rh: 0.6664 0.1736 0.1736  1 P 2.21
Y: 0.6244 0.6244 0.6244  3 Rh 2.57
Rh: 0.6322 0.0919 0.6322  2 P 2.54, 1 Rh 2.73
Rh: 0.1736 0.6664 0.1736  1 P 2.21
Y: 0.3756 0.3756 0.3756  3 Rh 2.57
Rh: 0.8264 0.8264 0.3336  1 P 2.21
Rh: 0.0919 0.6322 0.6322  2 P 2.54, 1 Rh 2.73
Rh: 0.9081 0.3678 0.3678  2 P 2.54, 1 Rh 2.73

Calculated values
V	293	Å³/cell
crystal system	trigonal
size of the total moment	0.000	Bohr magnetons per cell
space-group type	R-3m, No. 166
energy of formation from the pure elements	-0.18	eV per atom



No. 2
Computed, not measured: a geometry-optimized Dy2Ga3Ni4Ge structure at the PBE-GGA level of DFT.

Lattice parameters (Å, degrees): 4.0461 4.0461 9.9600 90.00 90.00 90.00
Last column: nearest neighbours and their distance in Å.
Atoms (fractional coordinates):
Ni: 0.5000 0.0000 0.6325  3 Ga 2.37-2.42, 2 Ge 2.42
Ge: 0.5000 0.5000 0.5000  4 Ni 2.42
Ga: 0.5000 0.0000 0.8705  5 Ni 2.37-2.40
Ni: 0.5000 0.5000 0.0000  4 Ga 2.40
Dy: 0.5000 0.0000 0.2526  8 Ni 3.08-3.23, 6 Ga 3.11-3.19, 2 Ge 3.19
Ga: 0.0000 0.0000 0.5000  4 Ni 2.42
Ni: 0.0000 0.5000 0.3675  3 Ga 2.37-2.42, 2 Ge 2.42
Ni: 0.0000 0.0000 0.0000  4 Ga 2.40
Dy: 0.0000 0.5000 0.7474  8 Ni 3.08-3.23, 6 Ga 3.11-3.19, 2 Ge 3.19
Ga: 0.0000 0.5000 0.1295  5 Ni 2.37-2.40

Calculated values
V	163	Å³/cell
crystal system	tetragonal
size of the total moment	0.000	Bohr magnetons per cell
space-group type	P-4m2, No. 115
energy of formation from the pure elements	-0.59	eV per atom



No. 3
Computed, not measured: a geometry-optimized CeGd2Tm structure at the PBE-GGA level of DFT.

Lattice parameters (Å, degrees): 3.5234 3.5234 9.9739 90.00 90.00 90.00
Last column: nearest neighbours and their distance in Å.
Atoms (fractional coordinates):
Gd: 0.0000 0.0000 0.7543  4 Ce 3.49, 4 Gd 3.52, 4 Tm 3.56
Gd: 0.0000 0.0000 0.2457  4 Ce 3.49, 4 Gd 3.52, 4 Tm 3.56
Ce: 0.5000 0.5000 0.0000  8 Gd 3.49, 4 Ce 3.52
Tm: 0.5000 0.5000 0.5000  4 Tm 3.52, 8 Gd 3.56

Calculated values
E above lowest polymorph	0.000	eV/atom
V	124	Å³/cell
crystal system	tetragonal
size of the total moment	13.754	Bohr magnetons per cell
space-group type	P4/mmm, No. 123
energy of formation from the pure elements	0.07	eV per atom



No. 4
Computed, not measured: a geometry-optimized Ce6Tl2N structure at the PBE-GGA level of DFT.

Lattice parameters (Å, degrees): 6.5967 6.7094 10.2596 90.00 89.96 90.00
Last column: nearest neighbours and their distance in Å.
Atoms (fractional coordinates):
N: 0.0000 0.0000 0.5000  6 Ce 2.35-2.52
Ce: 0.4998 0.5000 0.2290  1 N 2.35
Ce: 0.2118 0.2531 0.0001  1 N 2.52, 1 Ce 2.80
Ce: 0.2881 0.2469 0.4999  1 N 2.52, 1 Ce 2.80
Ce: 0.7882 0.7469 0.9999  1 N 2.52, 1 Ce 2.80
Ce: 0.9998 0.0000 0.7290  1 N 2.35
N: 0.5000 0.5000 0.0000  6 Ce 2.35-2.52
Tl: 0.5003 0.0000 0.2345  12 Ce 3.32-3.51
Tl: 0.0003 0.5000 0.7345  12 Ce 3.32-3.51
Ce: 0.2882 0.7531 0.4999  1 N 2.52, 1 Ce 2.80
Ce: 0.7119 0.7531 0.5001  1 N 2.52, 1 Ce 2.80
Ce: 0.7881 0.2531 0.9999  1 N 2.52, 1 Ce 2.80
Ce: 0.7118 0.2469 0.5001  1 N 2.52, 1 Ce 2.80
Ce: 0.5002 0.5000 0.7710  1 N 2.35
Tl: 0.9997 0.5000 0.2655  12 Ce 3.32-3.51
Ce: 0.2119 0.7469 0.0001  1 N 2.52, 1 Ce 2.80
Ce: 0.0002 0.0000 0.2710  1 N 2.35
Tl: 0.4997 0.0000 0.7655  12 Ce 3.32-3.51

Calculated values
E above lowest polymorph	0.000	eV/atom
V	454	Å³/cell
crystal system	orthorhombic
size of the total moment	6.178	Bohr magnetons per cell
space-group type	Immm, No. 71



No. 5
Computed, not measured: a geometry-optimized MgO structure at the PBE-GGA level of DFT.

Lattice parameters (Å, degrees): 7.7263 7.7263 3.4135 90.00 90.00 120.00
Last column: nearest neighbours and their distance in Å.
Atoms (fractional coordinates):
Mg: 0.3316 0.4056 0.7500  4 O 1.95-2.06
Mg: 0.9260 0.3316 0.2500  4 O 1.95-2.06
Mg: 0.6684 0.5944 0.2500  4 O 1.95-2.06
O: 0.5960 0.6750 0.7500  4 Mg 1.95-2.06
O: 0.4040 0.3250 0.2500  4 Mg 1.95-2.06
Mg: 0.0740 0.6684 0.7500  4 O 1.95-2.06
O: 0.9210 0.5960 0.2500  4 Mg 1.95-2.06
O: 0.3250 0.9210 0.7500  4 Mg 1.95-2.06
Mg: 0.5944 0.9260 0.7500  4 O 1.95-2.06
O: 0.6750 0.0790 0.2500  4 Mg 1.95-2.06
O: 0.0790 0.4040 0.7500  4 Mg 1.95-2.06
Mg: 0.4056 0.0740 0.2500  4 O 1.95-2.06

Calculated values
E_tot	-5.837	eV per atom
V	176	Å³/cell
crystal system	hexagonal
size of the total moment	0.000	Bohr magnetons per cell
space-group type	P6_3/m, No. 176



No. 6
Computed, not measured: a geometry-optimized Ce3Nd4DyS8 structure at the PBE-GGA level of DFT.

Lattice parameters (Å, degrees): 8.0693 8.0602 8.0694 120.04 120.00 90.00
Last column: nearest neighbours and their distance in Å.
Atoms (fractional coordinates):
Ce: 0.5000 0.5000 0.5000  6 S 2.84
S: 0.2475 0.2577 0.0026  1 Dy 2.79, 2 Ce 2.84, 3 Nd 2.87-2.91
Dy: 0.0000 0.5000 0.0000  6 S 2.79
Ce: 0.5000 0.5000 0.0000  6 S 2.84
S: 0.7489 0.7467 0.4978  3 Ce 2.84, 3 Nd 2.86
S: 0.7551 0.2577 0.5102  1 Dy 2.79, 2 Ce 2.84, 3 Nd 2.87-2.91
S: 0.2449 0.7423 0.4898  1 Dy 2.79, 2 Ce 2.84, 3 Nd 2.87-2.91
Nd: 0.5000 0.0000 0.0000  6 S 2.91
Nd: 0.0000 0.0000 0.0000  6 S 2.86-2.87
S: 0.7551 0.2577 0.0026  1 Dy 2.79, 2 Ce 2.84, 3 Nd 2.87-2.91
S: 0.7525 0.7423 0.9974  1 Dy 2.79, 2 Ce 2.84, 3 Nd 2.87-2.91
Ce: 0.0000 0.5000 0.5000  6 S 2.84
Nd: 0.5000 0.0000 0.5000  6 S 2.86-2.87
S: 0.2449 0.7423 0.9974  1 Dy 2.79, 2 Ce 2.84, 3 Nd 2.87-2.91
S: 0.2511 0.2533 0.5022  3 Ce 2.84, 3 Nd 2.86
Nd: 0.0000 0.0000 0.5000  6 S 2.86-2.87

Calculated values
E_tot	-6.689	eV per atom
V	371	Å³/cell
crystal system	trigonal
size of the total moment	2.047	Bohr magnetons per cell
space-group type	R-3m, No. 166



No. 7
Computed, not measured: a geometry-optimized Rb2BeTl structure at the PBE-GGA level of DFT.

Lattice parameters (Å, degrees): 6.1648 6.1648 6.1648 60.00 60.00 60.00
Last column: nearest neighbours and their distance in Å.
Atoms (fractional coordinates):
Rb: 0.2500 0.2500 0.2500  4 Tl 3.78, 4 Be 3.78
Be: 0.0000 0.0000 0.0000  8 Rb 3.78
Rb: 0.7500 0.7500 0.7500  4 Tl 3.78, 4 Be 3.78
Tl: 0.5000 0.5000 0.5000  8 Rb 3.78

Calculated values
E above lowest polymorph	0.368	eV/atom
V	166	Å³/cell
crystal system	cubic
size of the total moment	0.000	Bohr magnetons per cell
space-group type	Fm-3m, No. 225
energy of formation from the pure elements	0.69	eV per atom



No. 8
Computed, not measured: a geometry-optimized NdCo3PC structure at the PBE-GGA level of DFT.

Lattice parameters (Å, degrees): 5.5803 5.2986 6.0600 115.92 90.00 90.00
Last column: nearest neighbours and their distance in Å.
Atoms (fractional coordinates):
Co: 0.5000 0.2374 0.0000  2 C 1.89
Co: 0.7500 0.8165 0.6329  1 C 1.81
P: 0.7500 0.6157 0.2313  5 Co 2.19-2.34
Co: 0.5000 0.7626 0.0000  2 C 1.89
Co: 0.2500 0.1835 0.3671  1 C 1.81
Nd: 0.7500 0.2565 0.5131  4 Co 2.73-2.90, 1 C 2.99
Nd: 0.2500 0.7435 0.4869  4 Co 2.73-2.90, 1 C 2.99
P: 0.2500 0.3843 0.7687  5 Co 2.19-2.34
Co: 0.0000 0.7626 0.0000  2 C 1.89
C: 0.2500 0.0177 0.0354  5 Co 1.81-1.89
C: 0.7500 0.9823 0.9646  5 Co 1.81-1.89
Co: 0.0000 0.2374 0.0000  2 C 1.89

Calculated values
V	161	Å³/cell
crystal system	orthorhombic
size of the total moment	0.011	Bohr magnetons per cell
space-group type	Cmcm, No. 63
energy of formation from the pure elements	-0.39	eV per atom